1.
NbCoCuPt2: relaxed, PBE-GGA. Values from VASP.

Structure (Quantum ESPRESSO input):
```
&SYSTEM
  ibrav = 0, nat = 5, ntyp = 4
/
ATOMIC_SPECIES
Nb 92.91 Nb.upf
Co 58.93 Co.upf
Cu 63.55 Cu.upf
Pt 195.08 Pt.upf
CELL_PARAMETERS angstrom
4.863 0.000 0.000
0.000 4.863 0.000
0.000 0.000 4.696
ATOMIC_POSITIONS crystal
Nb 0.000 0.000 0.000
Co 0.500 0.500 0.500
Cu 0.000 0.000 0.500
Pt 0.000 0.500 0.000
Pt 0.500 0.000 0.000
```

Computed properties:
Space-group type: P4/mmm (123)
Fermi-level density of states: 4.6 states/eV/f.u.
Electronic total energy: -5.2436 eV/atom
Total magnetization: 2.2 μB per formula unit
Calculated volume: 22.21 A^3/atom

2.
NbCoCuRh: relaxed, PBE-GGA. Values from VASP.

Structure (Quantum ESPRESSO input):
```
&SYSTEM
  ibrav = 0, nat = 4, ntyp = 4
/
ATOMIC_SPECIES
Nb 92.91 Nb.upf
Co 58.93 Co.upf
Cu 63.55 Cu.upf
Rh 102.91 Rh.upf
CELL_PARAMETERS angstrom
0.000 3.018 3.018
3.018 0.000 3.018
3.018 3.018 0.000
ATOMIC_POSITIONS crystal
Nb 0.000 0.000 0.000
Co 0.750 0.750 0.750
Cu 0.500 0.500 0.500
Rh 0.250 0.250 0.250
```

Computed properties:
Space-group type: F-43m (216)
Fermi-level density of states: 0.4 states/eV/f.u.
Electronic total energy: -7.3349 eV/atom
Total magnetization: 0.0 μB per formula unit
Calculated volume: 13.75 A^3/atom

3.
NbCoCuRu: relaxed, PBE-GGA. Values from VASP.

Structure (Quantum ESPRESSO input):
```
&SYSTEM
  ibrav = 0, nat = 4, ntyp = 4
/
ATOMIC_SPECIES
Nb 92.91 Nb.upf
Co 58.93 Co.upf
Cu 63.55 Cu.upf
Ru 101.07 Ru.upf
CELL_PARAMETERS angstrom
0.000 3.019 3.019
3.019 0.000 3.019
3.019 3.019 0.000
ATOMIC_POSITIONS crystal
Nb 0.000 0.000 0.000
Co 0.750 0.750 0.750
Cu 0.500 0.500 0.500
Ru 0.250 0.250 0.250
```

Computed properties:
Space-group type: F-43m (216)
Fermi-level density of states: 5.1 states/eV/f.u.
Electronic total energy: -7.6439 eV/atom
Total magnetization: 0.0 μB per formula unit
Calculated volume: 13.76 A^3/atom

4.
ScNbCoCu: relaxed, PBE-GGA. Values from VASP.

Structure (Quantum ESPRESSO input):
```
&SYSTEM
  ibrav = 0, nat = 4, ntyp = 4
/
ATOMIC_SPECIES
Sc 44.96 Sc.upf
Nb 92.91 Nb.upf
Co 58.93 Co.upf
Cu 63.55 Cu.upf
CELL_PARAMETERS angstrom
0.000 3.137 3.137
3.137 0.000 3.137
3.137 3.137 0.000
ATOMIC_POSITIONS crystal
Sc 0.000 0.000 0.000
Nb 0.500 0.500 0.500
Co 0.250 0.250 0.250
Cu 0.750 0.750 0.750
```

Computed properties:
Space-group type: F-43m (216)
Fermi-level density of states: 3.2 states/eV/f.u.
Electronic total energy: -6.9850 eV/atom
Total magnetization: 0.0 μB per formula unit
Calculated volume: 15.43 A^3/atom